--- A ---
A plane-wave DFT calculation with PBE was carried out for crystalline LiIBr2 at its relaxed geometry.

abc: 7.4936 7.4936 7.1458
angles: 58.38 58.38 90.00
Site moments in Bohr magnetons follow the coordinates.
Element x y z (fractional)
I 0.0000 0.0000 0.0000  0.79
I 0.7500 0.2500 0.5000  0.79
Br 0.5454 0.1250 0.2500  0.30
Br 0.2046 0.6250 0.2500  0.32
Br 0.3750 0.4546 0.7500  0.30
Br 0.8750 0.7954 0.7500  0.32
Li 0.5000 0.5000 0.0000  0.01
Li 0.2500 0.7500 0.5000  0.01

---

--- B ---
A plane-wave DFT calculation with PBE was carried out for crystalline LiIBr2 at its relaxed geometry.

abc: 8.5250 8.5250 8.5250
angles: 29.21 29.21 29.21
Element x y z (fractional)
I 0.0000 0.0000 0.0000
Br 0.8881 0.8881 0.8881
Br 0.1119 0.1119 0.1119
Li 0.5000 0.5000 0.5000

---

--- C ---
A plane-wave DFT calculation with PBE was carried out for crystalline LiIBr2 at its relaxed geometry.

abc: 5.5702 5.5702 5.5702
angles: 60.00 60.00 60.00
Site moments in Bohr magnetons follow the coordinates.
Element x y z (fractional)
I 0.5000 0.5000 0.5000  0.77
Br 0.2500 0.2500 0.2500  0.34
Br 0.7500 0.7500 0.7500  0.34
Li 0.0000 0.0000 0.0000  0.00

---

How far above the most stable structure does each one sit? In kJ/mol of atoms: A 29.6; B 0.0; C 52.8.

---

--- A ---
A plane-wave DFT calculation with PBE was carried out for crystalline Li4I3Br at its relaxed geometry.

abc: 5.9080 5.9080 5.9080
angles: 90.00 90.00 90.00
Element x y z (fractional)
Li 0.5000 0.0000 0.0000
Li 0.0000 0.5000 0.0000
Li 0.0000 0.0000 0.5000
Li 0.5000 0.5000 0.5000
I 0.0000 0.5000 0.5000
I 0.5000 0.0000 0.5000
I 0.5000 0.5000 0.0000
Br 0.0000 0.0000 0.0000

---

--- B ---
A plane-wave DFT calculation with PBE was carried out for crystalline Li4I3Br at its relaxed geometry.

abc: 7.2476 7.7651 8.9361
angles: 90.00 90.00 90.00
Element x y z (fractional)
I 0.5036 0.8392 0.0000
I 0.0029 0.6687 0.2491
I 0.5029 0.3313 0.2509
I 0.0036 0.1608 0.5000
I 0.5029 0.3313 0.7491
I 0.0029 0.6687 0.7509
Br 0.0038 0.1698 0.0000
Br 0.5038 0.8302 0.5000
Li 0.1182 0.8562 0.0000
Li 0.6494 0.1704 0.0000
Li 0.1172 0.3259 0.2372
Li 0.6172 0.6741 0.2628
Li 0.1494 0.8296 0.5000
Li 0.6182 0.1438 0.5000
Li 0.6172 0.6741 0.7372
Li 0.1172 0.3259 0.7628

---

How far above the most stable structure does each one sit? In kJ/mol of atoms: A 4.5; B 0.0.

---

--- A ---
A plane-wave DFT calculation with PBE was carried out for crystalline LiIBrO2 at its relaxed geometry.

abc: 3.8942 3.8942 8.2152
angles: 90.00 90.00 90.00
Element x y z (fractional)
I 0.0000 0.0000 0.5000
O 0.0000 0.5000 0.0000
O 0.5000 0.0000 0.0000
Br 0.0000 0.0000 0.0000
Li 0.5000 0.5000 0.5000

---

--- B ---
A plane-wave DFT calculation with PBE was carried out for crystalline LiIBrO2 at its relaxed geometry.

abc: 4.1459 4.1459 6.5228
angles: 90.00 90.00 90.00
Site moments in Bohr magnetons follow the coordinates.
Element x y z (fractional)
I 0.0000 0.0000 0.5000  0.04
O 0.0000 0.5000 0.0000  1.15
O 0.5000 0.0000 0.0000  1.15
Br 0.5000 0.5000 0.5000  0.01
Li 0.0000 0.0000 0.0000  -0.02

---

How far above the most stable structure does each one sit? In kJ/mol of atoms: A 0.0; B 26.6.

---

--- A ---
A plane-wave DFT calculation with PBE was carried out for crystalline LiI2BrO at its relaxed geometry.

abc: 5.8662 5.8662 3.5090
angles: 90.00 90.00 90.00
Element x y z (fractional)
I 0.0000 0.5000 0.0000
I 0.5000 0.0000 0.0000
O 0.0000 0.0000 0.5000
Br 0.5000 0.5000 0.5000
Li 0.0000 0.0000 0.0000

---

--- B ---
A plane-wave DFT calculation with PBE was carried out for crystalline LiI2BrO at its relaxed geometry.

abc: 5.9652 5.9652 4.0482
angles: 90.00 90.00 90.00
Element x y z (fractional)
I 0.0000 0.5000 0.0000
I 0.5000 0.0000 0.0000
O 0.0000 0.0000 0.5000
Br 0.0000 0.0000 0.0000
Li 0.5000 0.5000 0.5000

---

How far above the most stable structure does each one sit? In kJ/mol of atoms: A 4.5; B 0.0.

---

--- A ---
A plane-wave DFT calculation with PBE was carried out for crystalline LiTeI2Br at its relaxed geometry.

abc: 5.9199 5.9199 5.7315
angles: 90.00 90.00 90.00
Element x y z (fractional)
I 0.0000 0.5000 0.0000
I 0.5000 0.0000 0.0000
Te 0.0000 0.0000 0.5000
Br 0.0000 0.0000 0.0000
Li 0.5000 0.5000 0.5000

---

--- B ---
A plane-wave DFT calculation with PBE was carried out for crystalline LiTeI2Br at its relaxed geometry.

abc: 5.2104 5.2104 5.6733
angles: 90.00 90.00 90.00
Element x y z (fractional)
I 0.0000 0.5000 0.0000
I 0.5000 0.0000 0.0000
Te 0.0000 0.0000 0.5000
Br 0.5000 0.5000 0.5000
Li 0.0000 0.0000 0.0000

---

How far above the most stable structure does each one sit? In kJ/mol of atoms: A 9.6; B 0.0.

---

--- A ---
A plane-wave DFT calculation with PBE was carried out for crystalline Mg2IBr at its relaxed geometry.

abc: 5.3470 5.3470 5.3470
angles: 60.00 60.00 60.00
Element x y z (fractional)
I 0.5000 0.5000 0.5000
Mg 0.2500 0.2500 0.2500
Mg 0.7500 0.7500 0.7500
Br 0.0000 0.0000 0.0000

---

--- B ---
A plane-wave DFT calculation with PBE was carried out for crystalline Mg2IBr at its relaxed geometry.

abc: 8.0542 8.0542 6.8482
angles: 53.98 53.98 90.00
Element x y z (fractional)
I 0.0000 0.0000 0.0000
I 0.7500 0.2500 0.5000
Mg 0.6050 0.1250 0.2500
Mg 0.1450 0.6250 0.2500
Mg 0.3750 0.3950 0.7500
Mg 0.8750 0.8550 0.7500
Br 0.5000 0.5000 0.0000
Br 0.2500 0.7500 0.5000

---

How far above the most stable structure does each one sit? In kJ/mol of atoms: A 5.6; B 0.0.

---

--- A ---
A plane-wave DFT calculation with PBE was carried out for crystalline Mg3IBr at its relaxed geometry.

abc: 6.0906 6.0906 6.0906
angles: 90.00 90.00 90.00
Element x y z (fractional)
I 0.0000 0.0000 0.0000
Mg 0.0000 0.5000 0.0000
Mg 0.0000 0.0000 0.5000
Mg 0.5000 0.0000 0.0000
Br 0.5000 0.5000 0.5000

---

--- B ---
A plane-wave DFT calculation with PBE was carried out for crystalline Mg3IBr at its relaxed geometry.

abc: 5.6754 5.6754 5.6754
angles: 90.00 90.00 90.00
Element x y z (fractional)
I 0.5000 0.5000 0.5000
Mg 0.0000 0.5000 0.0000
Mg 0.0000 0.0000 0.5000
Mg 0.5000 0.0000 0.0000
Br 0.0000 0.0000 0.0000

---

How far above the most stable structure does each one sit? In kJ/mol of atoms: A 15.8; B 0.0.

---

--- A ---
A plane-wave DFT calculation with PBE was carried out for crystalline MgI3Br at its relaxed geometry.

abc: 5.7344 5.7344 5.7344
angles: 90.00 90.00 90.00
Site moments in Bohr magnetons follow the coordinates.
Element x y z (fractional)
I 0.0000 0.5000 0.0000  0.26
I 0.0000 0.0000 0.5000  0.27
I 0.5000 0.0000 0.0000  0.32
Mg 0.0000 0.0000 0.0000  0.00
Br 0.5000 0.5000 0.5000  0.56

---

--- B ---
A plane-wave DFT calculation with PBE was carried out for crystalline MgI3Br at its relaxed geometry.

abc: 5.9783 5.9783 5.9783
angles: 90.00 90.00 90.00
Site moments in Bohr magnetons follow the coordinates.
Element x y z (fractional)
I 0.0000 0.5000 0.0000  0.02
I 0.0000 0.0000 0.5000  0.03
I 0.5000 0.0000 0.0000  0.01
Mg 0.5000 0.5000 0.5000  0.19
Br 0.0000 0.0000 0.0000  -0.02

---

How far above the most stable structure does each one sit? In kJ/mol of atoms: A 0.0; B 46.2.